(1)
# La2ZnRe (PBE, optimized geometry)
# ΔH_f (0 K) (meV per atom): 486
# Energy (eV/atom): -5.41
# N(E_F) (states/eV/f.u.): 4.4
# M_tot (μB/f.u.): 0.00
data_La2ZnRe
_cell_length_a 3.6764
_cell_length_b 3.6764
_cell_length_c 26.8167
_cell_angle_alpha 90.00
_cell_angle_beta 90.00
_cell_angle_gamma 120.00
_symmetry_space_group_name_H-M 'R 3 m'
_symmetry_Int_Tables_number 160
_symmetry_space_group_name_Hall 'R 3 -2"'
loop_
_atom_site_label
_atom_site_fract_x
_atom_site_fract_y
_atom_site_fract_z
_atom_site_occupancy
La1 0.0000 0.0000 0.0000 1
La2 0.0000 0.0000 0.2110 1
Zn1 0.0000 0.0000 0.7512 1
Re1 0.0000 0.0000 0.4711 1

***

(2)
# RbPd3Au (PBE, optimized geometry)
# ΔH_f (0 K) (meV per atom): 513
# Energy (eV/atom): -3.45
# N(E_F) (states/eV/f.u.): 4.1
# M_tot (μB/f.u.): 0.00
# E above lowest polymorph (meV per atom): 0.0
data_RbPd3Au
_cell_length_a 5.139
_cell_length_b 5.139
_cell_length_c 5.139
_cell_angle_alpha 90.00
_cell_angle_beta 90.00
_cell_angle_gamma 90.00
_symmetry_space_group_name_H-M 'P m -3 m'
_symmetry_Int_Tables_number 221
_symmetry_space_group_name_Hall '-P 4 2 3'
loop_
_atom_site_label
_atom_site_fract_x
_atom_site_fract_y
_atom_site_fract_z
_atom_site_occupancy
Rb1 0.000 0.000 0.000 1
Pd1 0.000 0.500 0.500 1
Au1 0.500 0.500 0.500 1

***

(3)
# PuTc3Ge3 (PBE, optimized geometry)
# ΔH_f (0 K) (meV per atom): -160
# Energy (eV/atom): -8.63
# N(E_F) (states/eV/f.u.): 12.1
# M_tot (μB/f.u.): 4.80
# E above lowest polymorph (meV per atom): 0.0
data_PuTc3Ge3
_cell_length_a 8.0477
_cell_length_b 8.0477
_cell_length_c 4.4591
_cell_angle_alpha 90.00
_cell_angle_beta 90.00
_cell_angle_gamma 120.00
_symmetry_space_group_name_H-M 'P 63/m'
_symmetry_Int_Tables_number 176
_symmetry_space_group_name_Hall '-P 6c'
loop_
_atom_site_label
_atom_site_fract_x
_atom_site_fract_y
_atom_site_fract_z
_atom_site_occupancy
Pu1 0.3333 0.6667 0.2500 1
Tc1 0.0448 0.2156 0.2500 1
Ge1 0.0821 0.4072 0.7500 1

***

(4)
# CsNd2AgSe4 (PBE, optimized geometry)
# Energy (eV/atom): -4.88
# M_tot (μB/f.u.): 0.00
# Formation energy without anion corrections (eV/atom): -1.4855
data_CsNd2AgSe4
_cell_length_a 4.368
_cell_length_b 14.955
_cell_length_c 15.174
_cell_angle_alpha 90.00
_cell_angle_beta 90.00
_cell_angle_gamma 90.00
_symmetry_space_group_name_H-M 'C m c m'
_symmetry_Int_Tables_number 63
_symmetry_space_group_name_Hall '-C 2c 2'
loop_
_atom_site_label
_atom_site_fract_x
_atom_site_fract_y
_atom_site_fract_z
_atom_site_occupancy
Cs1 0.000 0.115 0.250 1
Nd1 0.000 0.368 0.065 1
Ag1 0.000 0.164 0.750 1
Se1 0.000 0.000 0.000 1
Se2 0.000 0.259 0.602 1
Se3 0.000 0.435 0.250 1

***

(5)
# Ca6Hg2Pt (PBE, optimized geometry)
# ΔH_f (0 K) (meV per atom): -501
# Energy (eV/atom): -2.57
# N(E_F) (states/eV/f.u.): 6.7
# M_tot (μB/f.u.): 0.00
data_Ca6Hg2Pt
_cell_length_a 6.919
_cell_length_b 8.184
_cell_length_c 12.501
_cell_angle_alpha 90.00
_cell_angle_beta 123.52
_cell_angle_gamma 90.00
_symmetry_space_group_name_H-M 'P 1 21/c 1'
_symmetry_Int_Tables_number 14
loop_
_symmetry_equiv_pos_as_xyz
'x,y,z'
'-x,-y,-z'
'-x,y+1/2,-z+1/2'
'x,-y+1/2,z+1/2'
loop_
_atom_site_label
_atom_site_fract_x
_atom_site_fract_y
_atom_site_fract_z
_atom_site_occupancy
Ca1 0.093 0.187 0.441 1
Ca2 0.284 0.674 0.442 1
Ca3 0.383 0.031 0.254 1
Hg1 0.188 0.115 0.747 1
Pt1 0.000 0.000 0.000 1

***

(6)
# Ca2TmTlO5 (PBE, optimized geometry)
# Energy (eV/atom): -6.40
# M_tot (μB/f.u.): 0.00
# Formation energy without anion corrections (eV/atom): -2.4409
data_Ca2TmTlO5
_cell_length_a 3.398
_cell_length_b 14.070
_cell_length_c 11.489
_cell_angle_alpha 90.00
_cell_angle_beta 90.00
_cell_angle_gamma 90.00
_symmetry_space_group_name_H-M 'C m c 21'
_symmetry_Int_Tables_number 36
loop_
_symmetry_equiv_pos_as_xyz
'x,y,z'
'-x,-y,z+1/2'
'-x,y,z'
'x,-y,z+1/2'
'x+1/2,y+1/2,z'
'-x+1/2,-y+1/2,z+1/2'
'-x+1/2,y+1/2,z'
'x+1/2,-y+1/2,z+1/2'
loop_
_atom_site_label
_atom_site_fract_x
_atom_site_fract_y
_atom_site_fract_z
_atom_site_occupancy
Ca1 0.000 0.129 0.000 1
Ca2 0.000 0.135 0.486 1
Tm1 0.000 0.238 0.763 1
Tl1 0.000 0.499 0.736 1
O1 0.000 0.081 0.797 1
O2 0.000 0.264 0.133 1
O3 0.000 0.283 0.398 1
O4 0.000 0.377 0.848 1
O5 0.000 0.487 0.550 1

***

(7)
# ZrSc3P (PBE, optimized geometry)
# ΔH_f (0 K) (meV per atom): -265
# Energy (eV/atom): -6.86
# N(E_F) (states/eV/f.u.): 8.4
# M_tot (μB/f.u.): 2.25
# E above lowest polymorph (meV per atom): 0.0
data_ZrSc3P
_cell_length_a 4.946
_cell_length_b 4.946
_cell_length_c 4.946
_cell_angle_alpha 90.00
_cell_angle_beta 90.00
_cell_angle_gamma 90.00
_symmetry_space_group_name_H-M 'P m -3 m'
_symmetry_Int_Tables_number 221
_symmetry_space_group_name_Hall '-P 4 2 3'
loop_
_atom_site_label
_atom_site_fract_x
_atom_site_fract_y
_atom_site_fract_z
_atom_site_occupancy
Zr1 0.000 0.000 0.000 1
Sc1 0.000 0.500 0.500 1
P1 0.500 0.500 0.500 1

***

(8)
# LiCaNdGd (PBE, optimized geometry)
# ΔH_f (0 K) (meV per atom): 206
# Energy (eV/atom): -5.49
# N(E_F) (states/eV/f.u.): 5.1
# M_tot (μB/f.u.): 7.60
data_LiCaNdGd
_cell_length_a 8.039
_cell_length_b 8.039
_cell_length_c 8.039
_cell_angle_alpha 90.00
_cell_angle_beta 90.00
_cell_angle_gamma 90.00
_symmetry_space_group_name_H-M 'F -4 3 m'
_symmetry_Int_Tables_number 216
_symmetry_space_group_name_Hall 'F -4 2 3'
loop_
_atom_site_label
_atom_site_fract_x
_atom_site_fract_y
_atom_site_fract_z
_atom_site_occupancy
Li1 0.000 0.000 0.000 1
Ca1 0.250 0.250 0.750 1
Nd1 0.250 0.250 0.250 1
Gd1 0.000 0.000 0.500 1